Arrangement 1

Computed, not measured: CsMgTl after structural relaxation at the PBE level of DFT.

Lattice parameters (Å, degrees): 3.928 5.856 5.856 120.00 90.00 90.00
Fractional coordinates of all 3 atoms:
1 Cs 0.666 0.333 0.667
2 Tl 0.166 0.000 0.000
3 Mg 0.168 0.667 0.333

Arrangement 2

Computed, not measured: CsMgTl after structural relaxation at the PBE level of DFT.

Lattice parameters (Å, degrees): 5.158 5.158 9.440 90.00 90.00 90.00
Fractional coordinates of all 6 atoms:
1 Cs 0.000 0.500 0.845
2 Cs 0.500 0.000 0.155
3 Tl 0.000 0.500 0.332
4 Tl 0.500 0.000 0.668
5 Mg 0.500 0.500 0.500
6 Mg 0.000 0.000 0.500

Taking the most stable structure as the zero point, the relative energies in kJ/mol of atoms are arrangement 1 15.6; arrangement 2 0.0.

Arrangement 1

Computed, not measured: CsMg6Tl12 after structural relaxation at the PBE level of DFT.

Lattice parameters (Å, degrees): 8.709 8.709 8.709 104.81 104.81 104.81
Fractional coordinates of all 19 atoms:
1 Cs 0.000 0.000 0.000
2 Mg 0.705 0.268 0.268
3 Mg 0.268 0.268 0.705
4 Mg 0.268 0.705 0.268
5 Mg 0.732 0.732 0.295
6 Mg 0.295 0.732 0.732
7 Mg 0.732 0.295 0.732
8 Tl 0.882 0.118 0.500
9 Tl 0.845 0.585 0.585
10 Tl 0.585 0.585 0.845
11 Tl 0.415 0.155 0.415
12 Tl 0.415 0.415 0.155
13 Tl 0.155 0.415 0.415
14 Tl 0.118 0.500 0.882
15 Tl 0.500 0.882 0.118
16 Tl 0.118 0.882 0.500
17 Tl 0.882 0.500 0.118
18 Tl 0.500 0.118 0.882
19 Tl 0.585 0.845 0.585

Arrangement 2

Computed, not measured: CsMg6Tl12 after structural relaxation at the PBE level of DFT.

Lattice parameters (Å, degrees): 8.044 9.406 9.406 67.78 73.44 106.56
Fractional coordinates of all 19 atoms:
1 Cs 0.000 0.000 0.000
2 Mg 0.452 0.472 0.244
3 Mg 0.020 0.716 0.528
4 Mg 0.304 0.756 0.716
5 Mg 0.548 0.528 0.756
6 Mg 0.980 0.284 0.472
7 Mg 0.696 0.244 0.284
8 Tl 0.490 0.895 0.309
9 Tl 0.595 0.796 0.895
10 Tl 0.799 0.309 0.796
11 Tl 0.510 0.105 0.691
12 Tl 0.405 0.204 0.105
13 Tl 0.201 0.691 0.204
14 Tl 0.270 0.477 0.591
15 Tl 0.139 0.409 0.068
16 Tl 0.207 0.068 0.523
17 Tl 0.730 0.523 0.409
18 Tl 0.861 0.591 0.932
19 Tl 0.793 0.932 0.477

Taking the most stable structure as the zero point, the relative energies in kJ/mol of atoms are arrangement 1 0.7; arrangement 2 0.0.

Arrangement 1

Computed, not measured: CsMgW3 after structural relaxation at the PBE level of DFT.

Lattice parameters (Å, degrees): 4.955 4.955 4.955 90.00 90.00 90.00
Fractional coordinates of all 5 atoms:
1 Cs 0.000 0.000 0.000
2 Mg 0.500 0.500 0.500
3 W 0.000 0.500 0.000
4 W 0.000 0.000 0.500
5 W 0.500 0.000 0.000

Arrangement 2

Computed, not measured: CsMgW3 after structural relaxation at the PBE level of DFT.

Lattice parameters (Å, degrees): 4.961 4.961 4.961 90.00 90.00 90.00
Fractional coordinates of all 5 atoms:
1 Cs 0.500 0.500 0.500
2 Mg 0.000 0.000 0.000
3 W 0.000 0.500 0.000
4 W 0.000 0.000 0.500
5 W 0.500 0.000 0.000

Taking the most stable structure as the zero point, the relative energies in kJ/mol of atoms are arrangement 1 52.7; arrangement 2 0.0.

Arrangement 1

Computed, not measured: CsMg3W after structural relaxation at the PBE level of DFT.

Lattice parameters (Å, degrees): 5.434 5.434 5.434 90.00 90.00 90.00
Fractional coordinates of all 5 atoms:
1 Cs 0.000 0.000 0.000
2 Mg 0.000 0.500 0.000
3 Mg 0.000 0.000 0.500
4 Mg 0.500 0.000 0.000
5 W 0.500 0.500 0.500

Arrangement 2

Computed, not measured: CsMg3W after structural relaxation at the PBE level of DFT.

Lattice parameters (Å, degrees): 5.624 5.624 5.624 90.00 90.00 90.00
Fractional coordinates of all 5 atoms:
1 Cs 0.500 0.500 0.500
2 Mg 0.000 0.500 0.000
3 Mg 0.000 0.000 0.500
4 Mg 0.500 0.000 0.000
5 W 0.000 0.000 0.000

Taking the most stable structure as the zero point, the relative energies in kJ/mol of atoms are arrangement 1 159.4; arrangement 2 0.0.